Pm4NdGa2: relaxed, PBE-GGA.

```
7
Lattice="2.525 1.458 10.227 -2.525 1.458 10.227 0.000 -2.916 10.227" Properties=species:S:1:pos:R:3 pbc="T T T"
Pm 0.000 0.000 3.158
Pm 0.000 0.000 9.141
Pm 0.000 0.000 21.540
Pm 0.000 0.000 27.523
Nd 0.000 0.000 15.341
Ga 0.000 0.000 12.278
Ga 0.000 0.000 18.404
```

Values from the calculation:
- Final energy: -4.359 eV/atom
- SG: R-3m, No. 166
- D(E_F): 1.69 states/eV/atom
- Energy of formation: -0.10 eV/atom